MgTcCl2 | PBE-GGA | optimized geometry

Its crystal system is cubic. The value obtained for the density is 3.91 g cm⁻³. Its uncorrected formation energy is 2.0 eV per formula unit. The offset from the most stable computed form comes out at 864.2 meV/atom. The value obtained for the total magnetic moment is 3.6 μB/f.u.

The structure belongs to space group F-43m (No. 216); the cell edges are 6.900, 6.900 and 6.900 Å and the angles 90.00°, 90.00° and 90.00°. The distinct sites, in fractional coordinates, are Mg at (0.000, 0.000, 0.000), Tc at (0.250, 0.250, 0.750), Cl at (0.000, 0.000, 0.500) and Cl at (0.250, 0.250, 0.250).



MgTcCl2 | PBE-GGA | optimized geometry

Its crystal system is monoclinic. The value obtained for the density is 4.43 g cm⁻³. Its uncorrected formation energy is -0.1 eV per formula unit. The offset from the most stable computed form comes out at 329.6 meV/atom. The value obtained for the total magnetic moment is 1.3 μB/f.u.

The structure belongs to space group P2/m (No. 10); the cell edges are 3.229, 4.142 and 5.430 Å and the angles 90.00°, 93.24° and 90.00°. The distinct sites, in fractional coordinates, are Mg at (0.000, 0.000, 0.000), Tc at (0.500, 0.000, 0.500) and Cl at (0.320, 0.500, 0.259).



MgTc2Cl | PBE-GGA | optimized geometry

Its crystal system is trigonal. The value obtained for the density is 6.72 g cm⁻³. Its uncorrected formation energy is 2.1 eV per formula unit. The offset from the most stable computed form comes out at 682.6 meV/atom. The value obtained for the total magnetic moment is 1.9 μB/f.u.

The structure belongs to space group R-3m (No. 166, hexagonal axes); the cell edges are 2.8913, 2.8913 and 26.1702 Å and the angles 90.00°, 90.00° and 120.00°. The distinct sites, in fractional coordinates, are Mg at (0.0000, 0.0000, 0.0000), Tc at (0.0000, 0.0000, 0.2439) and Cl at (0.0000, 0.0000, 0.5000).



MgTc2Cl | PBE-GGA | optimized geometry

Its crystal system is tetragonal. The value obtained for the density is 6.25 g cm⁻³. Its uncorrected formation energy is -0.3 eV per formula unit. The offset from the most stable computed form comes out at 81.0 meV/atom. The value obtained for the total magnetic moment is 0.0 μB/f.u.

The structure belongs to space group P4mm (No. 99); the cell edges are 3.014, 3.014 and 7.477 Å and the angles 90.00°, 90.00° and 90.00°. The distinct sites, in fractional coordinates, are Mg at (0.000, 0.000, 0.000), Tc at (0.000, 0.000, 0.450), Tc at (0.500, 0.500, 0.265) and Cl at (0.500, 0.500, 0.755).



MgTc2Cl | PBE-GGA | optimized geometry

Its crystal system is monoclinic. The value obtained for the density is 6.53 g cm⁻³. Its uncorrected formation energy is -0.1 eV per formula unit. The offset from the most stable computed form comes out at 136.6 meV/atom. The value obtained for the total magnetic moment is 0.0 μB/f.u.

The structure belongs to space group Cm (No. 8); the cell edges are 5.152, 2.950 and 8.865 Å and the angles 90.00°, 105.00° and 90.00°. The distinct sites, in fractional coordinates, are Mg at (0.000, 0.000, 0.000), Tc at (0.056, 0.500, 0.493), Tc at (0.287, 0.500, 0.268) and Cl at (0.234, 0.000, 0.787).



MgTc2Cl | PBE-GGA | optimized geometry

Its crystal system is tetragonal. The value obtained for the density is 6.66 g cm⁻³. Its uncorrected formation energy is 2.8 eV per formula unit. The offset from the most stable computed form comes out at 877.5 meV/atom. The value obtained for the total magnetic moment is 0.0 μB/f.u.

The structure belongs to space group P4/mmm (No. 123); the cell edges are 2.749, 2.749 and 8.441 Å and the angles 90.00°, 90.00° and 90.00°. The distinct sites, in fractional coordinates, are Mg at (0.000, 0.000, 0.000), Tc at (0.500, 0.500, 0.256) and Cl at (0.000, 0.000, 0.500).



MgTc2Cl | PBE-GGA | optimized geometry

Its crystal system is orthorhombic. The value obtained for the density is 6.16 g cm⁻³. Its uncorrected formation energy is 2.5 eV per formula unit. The offset from the most stable computed form comes out at 793.7 meV/atom. The value obtained for the total magnetic moment is 0.0 μB/f.u.

The structure belongs to space group Pmmm (No. 47); the cell edges are 2.870, 4.577 and 5.249 Å and the angles 90.00°, 90.00° and 90.00°. The distinct sites, in fractional coordinates, are Mg at (0.000, 0.000, 0.000), Tc at (0.500, 0.500, 0.214) and Cl at (0.000, 0.000, 0.500).



MgTc2Cl | PBE-GGA | optimized geometry

Its crystal system is tetragonal. The value obtained for the density is 7.03 g cm⁻³. Its uncorrected formation energy is 3.5 eV per formula unit. The offset from the most stable computed form comes out at 1046.1 meV/atom. The value obtained for the total magnetic moment is 0.0 μB/f.u.

The structure belongs to space group P4/mmm (No. 123); the cell edges are 4.526, 4.526 and 2.947 Å and the angles 90.00°, 90.00° and 90.00°. The distinct sites, in fractional coordinates, are Mg at (0.000, 0.000, 0.000), Tc at (0.000, 0.500, 0.500) and Cl at (0.500, 0.500, 0.000).



MgTc2TeCl | PBE-GGA | optimized geometry

Its crystal system is tetragonal. The value obtained for the density is 4.68 g cm⁻³. Its uncorrected formation energy is 5.8 eV per formula unit. The value obtained for the total magnetic moment is 3.3 μB/f.u.

The structure belongs to space group P4/mmm (No. 123); the cell edges are 4.934, 4.934 and 5.593 Å and the angles 90.00°, 90.00° and 90.00°. The distinct sites, in fractional coordinates, are Mg at (0.000, 0.000, 0.000), Tc at (0.000, 0.500, 0.500), Te at (0.500, 0.500, 0.500) and Cl at (0.500, 0.500, 0.000).



MgVTc2Cl | PBE-GGA | optimized geometry

Its crystal system is tetragonal. The value obtained for the density is 5.99 g cm⁻³. Its uncorrected formation energy is 5.6 eV per formula unit. The value obtained for the total magnetic moment is 0.1 μB/f.u.

The structure belongs to space group P4/mmm (No. 123); the cell edges are 4.381, 4.381 and 4.427 Å and the angles 90.00°, 90.00° and 90.00°. The distinct sites, in fractional coordinates, are Mg at (0.000, 0.000, 0.000), V at (0.500, 0.500, 0.000), Tc at (0.000, 0.500, 0.500) and Cl at (0.000, 0.000, 0.500).



YMgTc2Cl | PBE-GGA | optimized geometry

Its crystal system is tetragonal. The value obtained for the density is 5.80 g cm⁻³. Its uncorrected formation energy is 2.4 eV per formula unit. The value obtained for the total magnetic moment is 0.0 μB/f.u.

The structure belongs to space group P4/mmm (No. 123); the cell edges are 4.483, 4.483 and 4.913 Å and the angles 90.00°, 90.00° and 90.00°. The distinct sites, in fractional coordinates, are Y at (0.000, 0.000, 0.000), Mg at (0.500, 0.500, 0.000), Tc at (0.000, 0.500, 0.500) and Cl at (0.000, 0.000, 0.500).



MgTeCl | PBE-GGA | optimized geometry

Its crystal system is monoclinic. The value obtained for the density is 3.52 g cm⁻³. Its uncorrected formation energy is -3.2 eV per formula unit. The value obtained for the total magnetic moment is 0.0 μB/f.u.

The structure belongs to space group Cm (No. 8); the cell edges are 5.953, 3.826 and 7.764 Å and the angles 90.00°, 91.78° and 90.00°. The distinct sites, in fractional coordinates, are Mg at (0.000, 0.000, 0.000), Te at (0.169, 0.500, 0.268) and Cl at (0.335, 0.000, 0.822).



In the order shown, the computed electronic total energy values come out to -3.4163; -3.9509; -5.5286; -6.1302; -6.0747; -5.3337; -5.4175; -5.1651; -4.3025; -5.5475; -5.6571; -3.2716 eV/atom.